(1)
Entry from the Alexandria database: a relaxed AlReAs2 crystal (PBE).

Summary:
Mass density = 7.92 g/cm³
Crystal system = orthorhombic
Volume = 76.1 Å³/cell
ΔE_f = 196 meV per atom
Magnetization = 0.0 μB/f.u.

Geometry as CIF:
```
data_AlReAs2
_symmetry_space_group_name_H-M 'P 1'
_symmetry_Int_Tables_number 1
_cell_length_a 4.0524
_cell_length_b 3.2272
_cell_length_c 5.8212
_cell_angle_alpha 90.05
_cell_angle_beta 90.00
_cell_angle_gamma 90.00
loop_
_symmetry_equiv_pos_as_xyz
'x,y,z'
loop_
_atom_site_label
_atom_site_fract_x
_atom_site_fract_y
_atom_site_fract_z
Al1 0.5000 0.8752 0.6717
As1 0.5000 0.3745 0.3103
Re1 0.0000 0.3749 0.5833
As2 0.0000 0.8754 0.9347
```

---

(2)
Entry from the Alexandria database: a relaxed Ta2Be2W crystal (PBE).

Summary:
Mass density = 13.73 g/cm³
Crystal system = tetragonal
Volume = 136.4 Å³/cell
ΔE_f = -251 meV per atom
Magnetization = 0.0 μB/f.u.

Geometry as CIF:
```
data_Ta2Be2W
_symmetry_space_group_name_H-M 'P 1'
_symmetry_Int_Tables_number 1
_cell_length_a 6.4066
_cell_length_b 6.4066
_cell_length_c 3.3228
_cell_angle_alpha 90.00
_cell_angle_beta 90.00
_cell_angle_gamma 90.00
loop_
_symmetry_equiv_pos_as_xyz
'x,y,z'
loop_
_atom_site_label
_atom_site_fract_x
_atom_site_fract_y
_atom_site_fract_z
Ta1 0.1801 0.6801 0.5000
Ta2 0.6801 0.8199 0.5000
Be1 0.3843 0.8843 0.0000
W1 0.0000 0.0000 0.0000
Be2 0.1157 0.3843 0.0000
W2 0.5000 0.5000 0.0000
Be3 0.6157 0.1157 0.0000
Ta3 0.3199 0.1801 0.5000
Be4 0.8843 0.6157 0.0000
Ta4 0.8199 0.3199 0.5000
```

---

(3)
Entry from the Alexandria database: a relaxed BaMg6CdAg crystal (PBE).

Summary:
Mass density = 3.31 g/cm³
Crystal system = orthorhombic
Volume = 505.5 Å³/cell
ΔE_f = 32 meV per atom
Magnetization = 0.0 μB/f.u.

Geometry as CIF:
```
data_BaMg6CdAg
_symmetry_space_group_name_H-M 'P 1'
_symmetry_Int_Tables_number 1
_cell_length_a 9.9540
_cell_length_b 7.8113
_cell_length_c 9.0718
_cell_angle_alpha 115.50
_cell_angle_beta 123.27
_cell_angle_gamma 90.00
loop_
_symmetry_equiv_pos_as_xyz
'x,y,z'
loop_
_atom_site_label
_atom_site_fract_x
_atom_site_fract_y
_atom_site_fract_z
Mg1 0.6045 0.4223 0.7397
Ag1 0.0000 0.0000 0.5000
Mg2 0.3955 0.1826 0.2603
Cd1 0.5000 0.5000 0.0000
Mg3 0.8647 0.5777 0.2603
Mg4 0.8647 0.1826 0.2603
Mg5 0.7600 0.5100 0.5201
Mg6 0.6636 0.9136 0.3272
Cd2 0.5000 0.0000 0.0000
Ag2 0.5000 0.0000 0.5000
Mg7 0.3955 0.5777 0.2603
Ba1 0.9462 0.1962 0.8924
Mg8 0.1353 0.4223 0.7397
Mg9 0.2400 0.4900 0.4799
Mg10 0.6045 0.8174 0.7397
Mg11 0.1353 0.8174 0.7397
Mg12 0.3364 0.0864 0.6728
Ba2 0.0538 0.8038 0.1076
```

---

(4)
Entry from the Alexandria database: a relaxed YZr2Nb crystal (PBE).

Summary:
Mass density = 6.32 g/cm³
Crystal system = tetragonal
Volume = 95.7 Å³/cell
ΔE_f = 98 meV per atom
Magnetization = 0.0 μB/f.u.

Geometry as CIF:
```
data_YZr2Nb
_symmetry_space_group_name_H-M 'P 1'
_symmetry_Int_Tables_number 1
_cell_length_a 3.5919
_cell_length_b 3.5919
_cell_length_c 7.4209
_cell_angle_alpha 90.00
_cell_angle_beta 90.00
_cell_angle_gamma 90.00
loop_
_symmetry_equiv_pos_as_xyz
'x,y,z'
loop_
_atom_site_label
_atom_site_fract_x
_atom_site_fract_y
_atom_site_fract_z
Nb1 0.5000 0.5000 0.0000
Y1 0.5000 0.5000 0.5000
Zr1 0.0000 0.0000 0.7968
Zr2 0.0000 0.0000 0.2032
```